A plane-wave DFT calculation with PBE was carried out for an optimized crystal structure of LiY2HgS.

The calculation puts the volume at 24.2 A^3/atom. The uncorrected formation energy comes out at -0.872 eV per atom. For the size of the total moment, the calculation gives 0.00 μB/atom.

Lattice parameters (Å, degrees): 5.2922 5.2922 4.3119 90.00 90.00 90.00
With the nearest neighbours (Å) after each atom.
Sites, in units of the cell vectors:
1 Y 0.0000 0.5000 0.0000  2 S 2.65
2 Y 0.5000 0.0000 0.0000  2 S 2.65
3 S 0.0000 0.0000 0.0000  2 Li 2.16
4 Hg 0.5000 0.5000 0.5000  8 Y 3.41, 4 Li 3.74
5 Li 0.0000 0.0000 0.5000  2 S 2.16

=====

A plane-wave DFT calculation with PBE was carried out for an optimized crystal structure of LiZnHgS2.

The calculation puts the volume at 25.3 A^3/atom. The uncorrected formation energy comes out at 0.419 eV per atom. For the size of the total moment, the calculation gives 0.00 μB/atom.

Lattice parameters (Å, degrees): 5.1039 4.8656 5.1039 90.00 90.00 90.00
With the nearest neighbours (Å) after each atom.
Sites, in units of the cell vectors:
1 S 0.0000 0.0000 0.5000  2 Hg 2.55
2 S 0.5000 0.0000 0.0000  2 Hg 2.55
3 Zn 0.5000 0.5000 0.5000  8 S 3.53, 4 Li 3.61
4 Hg 0.0000 0.0000 0.0000  2 Li 2.43, 4 S 2.55
5 Li 0.0000 0.5000 0.0000  2 Hg 2.43

=====

A plane-wave DFT calculation with PBE was carried out for an optimized crystal structure of Li2ZrHgS4.

The calculation puts the volume at 19.5 A^3/atom. The uncorrected formation energy comes out at -1.047 eV per atom. For the size of the total moment, the calculation gives 0.00 μB/atom.

Lattice parameters (Å, degrees): 3.7544 6.5929 6.8827 66.61 90.00 90.00
With the nearest neighbours (Å) after each atom.
Sites, in units of the cell vectors:
1 Li 0.0000 0.0000 0.0000  4 S 2.69
2 Li 0.5000 0.0000 0.5000  6 S 2.60-2.64
3 Zr 0.0000 0.5000 0.5000  6 S 2.60-2.61
4 Hg 0.5000 0.5000 0.0000  4 S 2.64
5 S 0.0000 0.7302 0.7327  1 Zr 2.61, 2 Li 2.64, 2 Hg 2.64
6 S 0.0000 0.2698 0.2673  1 Zr 2.61, 2 Li 2.64, 2 Hg 2.64
7 S 0.5000 0.7621 0.2759  3 Li 2.60-2.69, 2 Zr 2.60
8 S 0.5000 0.2379 0.7241  3 Li 2.60-2.69, 2 Zr 2.60

=====

A plane-wave DFT calculation with PBE was carried out for an optimized crystal structure of Li4Hg3Sb.

The calculation puts the volume at 19.7 A^3/atom. The uncorrected formation energy comes out at -0.411 eV per atom. For the size of the total moment, the calculation gives 0.00 μB/atom.

Lattice parameters (Å, degrees): 4.9284 4.9285 7.3585 109.72 109.57 90.00
With the nearest neighbours (Å) after each atom.
Sites, in units of the cell vectors:
1 Sb 0.5000 0.0000 0.0000  8 Li 2.92-2.93, 2 Hg 3.23
2 Hg 0.0000 0.5000 0.0000  8 Li 2.92-2.93, 2 Hg 3.24
3 Hg 0.7498 0.2508 0.4996  8 Li 2.97-2.98, 1 Sb 3.23, 1 Hg 3.24
4 Hg 0.2502 0.7492 0.5004  8 Li 2.97-2.98, 1 Sb 3.23, 1 Hg 3.24
5 Li 0.3787 0.3787 0.7575  2 Sb 2.92-2.93, 6 Hg 2.92-2.98, 1 Li 3.14
6 Li 0.6213 0.6213 0.2425  2 Sb 2.92-2.93, 6 Hg 2.92-2.98, 1 Li 3.14
7 Li 0.1213 0.1211 0.2425  6 Hg 2.92-2.98, 2 Sb 2.92, 1 Li 3.14
8 Li 0.8787 0.8789 0.7575  6 Hg 2.92-2.98, 2 Sb 2.92, 1 Li 3.14

=====

A plane-wave DFT calculation with PBE was carried out for an optimized crystal structure of Li8HgSb2.

The calculation puts the volume at 19.1 A^3/atom. The uncorrected formation energy comes out at -0.483 eV per atom. For the size of the total moment, the calculation gives 0.00 μB/atom.

Lattice parameters (Å, degrees): 4.5669 7.4672 7.5657 119.63 107.57 90.00
With the nearest neighbours (Å) after each atom.
Sites, in units of the cell vectors:
1 Li 0.3429 0.5504 0.6859  3 Sb 2.80-2.84, 4 Li 2.80-3.10, 1 Hg 2.92
2 Li 0.6581 0.8656 0.3162  3 Sb 2.80-2.84, 4 Li 2.81-3.10, 1 Hg 2.93
3 Li 0.8471 0.8449 0.6943  4 Li 2.80-2.96, 2 Sb 2.96, 2 Hg 2.96
4 Li 0.9993 0.3034 0.9987  2 Sb 2.81-2.82, 7 Li 2.93-3.00
5 Li 0.1529 0.1551 0.3057  4 Li 2.80-2.96, 2 Sb 2.96, 2 Hg 2.96
6 Li 0.3419 0.1344 0.6838  3 Sb 2.80-2.84, 4 Li 2.81-3.10, 1 Hg 2.93
7 Li 0.6571 0.4496 0.3141  3 Sb 2.80-2.84, 4 Li 2.80-3.10, 1 Hg 2.92
8 Li 0.0007 0.6966 0.0013  2 Sb 2.81-2.82, 7 Li 2.93-3.00
9 Hg 0.5000 0.0000 0.0000  12 Li 2.92-3.22
10 Sb 0.8050 0.3058 0.6100  10 Li 2.80-2.96
11 Sb 0.1950 0.6942 0.3900  10 Li 2.80-2.96

=====

A plane-wave DFT calculation with PBE was carried out for an optimized crystal structure of Li3HgSb.

The calculation puts the volume at 29.2 A^3/atom. The uncorrected formation energy comes out at -0.338 eV per atom. Its energy above the most stable polymorph in this dataset is 144 meV/atom. For the size of the total moment, the calculation gives 0.00 μB/atom.

Lattice parameters (Å, degrees): 5.2666 5.2666 5.2666 90.00 90.00 90.00
With the nearest neighbours (Å) after each atom.
Sites, in units of the cell vectors:
1 Sb 0.0000 0.0000 0.0000  6 Li 2.63
2 Hg 0.5000 0.5000 0.5000  12 Li 3.72
3 Li 0.0000 0.5000 0.0000  2 Sb 2.63
4 Li 0.0000 0.0000 0.5000  2 Sb 2.63
5 Li 0.5000 0.0000 0.0000  2 Sb 2.63